Computed, not measured: RuPtRh2 at its PBEsol-relaxed geometry at the meta-GGA SCAN level of DFT.

Cell: 2.6854 2.6854 7.6381 Å, 90.00 90.00 90.00°
Fractional positions:
Rh 0.0000 0.0000 0.7608
Rh 0.0000 0.0000 0.2392
Pt 0.5000 0.5000 0.5000
Ru 0.5000 0.5000 0.0000

Its final energy is -43.186 eV per atom. Its offset from the most stable computed form is 0 meV per atom. The value obtained for the density of states at the Fermi level is 3.763 states/eV per cell. The formation energy is -18 kJ/mol of formula units. The volume comes out at 13.77 Å³ per atom.

---

Computed, not measured: RuPtRh2 at its PBEsol-relaxed geometry at the meta-GGA SCAN level of DFT.

Cell: 2.6872 2.6872 8.9599 Å, 81.38 81.38 60.00°
Fractional positions:
Pt 0.0000 0.0000 0.0000
Ru 0.5000 0.5000 0.5000
Rh 0.7533 0.7533 0.7400
Rh 0.2467 0.2467 0.2600

Its final energy is -43.165 eV per atom. Its offset from the most stable computed form is 21 meV per atom. The value obtained for the density of states at the Fermi level is 3.826 states/eV per cell. The formation energy is -9 kJ/mol of formula units. The volume comes out at 13.80 Å³ per atom.

---

Computed, not measured: Ru2PtRh at its PBEsol-relaxed geometry at the meta-GGA SCAN level of DFT.

Cell: 2.6755 4.6602 4.6646 Å, 99.35 90.00 106.68°
Fractional positions:
Rh 0.2532 0.5063 0.7565
Ru 0.0019 0.0038 0.0048
Ru 0.7462 0.4924 0.2392
Pt 0.4987 0.9975 0.4994

Its final energy is -43.391 eV per atom. Its offset from the most stable computed form is 25 meV per atom. The value obtained for the density of states at the Fermi level is 4.350 states/eV per cell. The formation energy is 5 kJ/mol of formula units. The volume comes out at 13.73 Å³ per atom.

---

Computed, not measured: Ru2PtRh at its PBEsol-relaxed geometry at the meta-GGA SCAN level of DFT.

Cell: 2.6798 4.6481 4.6699 Å, 99.45 106.67 90.00°
Fractional positions:
Pt 0.0000 0.5000 0.0000
Rh 0.5000 0.0000 0.0000
Ru 0.2483 0.2436 0.4966
Ru 0.7517 0.7564 0.5034

Its final energy is -43.358 eV per atom. Its offset from the most stable computed form is 58 meV per atom. The value obtained for the density of states at the Fermi level is 4.250 states/eV per cell. The formation energy is 18 kJ/mol of formula units. The volume comes out at 13.72 Å³ per atom.